No. 1
TbErTl | GGA-PBE | optimized geometry

Its calculated volume is 169.2 Å³ per cell. For the formation energy, the calculation gives -0.26 eV per atom. The mass density comes out at 10.4 g/cm3. The raw total energy comes out at -24.656 eV for the cell shown.

Cell lengths 5.3966, 5.3966, 6.7083 Å; angles 90.00, 90.00, 120.00 degrees
Space group P6_3/mmc (No. 194)
Inequivalent atoms, fractional coordinates:
Tb 0.0000 0.0000 0.0000
Er 0.3333 0.6667 0.2500
Tl 0.3333 0.6667 0.7500


No. 2
Tb4Er5Tl | GGA-PBE | optimized geometry

Its calculated volume is 644.5 Å³ per cell. For the formation energy, the calculation gives 0.13 eV per atom. The mass density comes out at 8.6 g/cm3. The raw total energy comes out at -84.747 eV for the cell shown.

Cell lengths 5.7592, 14.9596, 8.0124 Å; angles 90.00, 111.00, 90.00 degrees
Space group Cm (No. 8)
Inequivalent atoms, fractional coordinates:
Tb 0.0000 0.1584 0.0000
Tb 0.1839 0.3419 0.3671
Er 0.0217 0.5000 0.0535
Er 0.0456 0.0000 0.6839
Er 0.1506 0.0000 0.3126
Er 0.3362 0.1852 0.6832
Tl 0.0629 0.5000 0.6825


No. 3
Tb8ErTl6 | GGA-PBE | optimized geometry

Its calculated volume is 1409.6 Å³ per cell. For the formation energy, the calculation gives -0.14 eV per atom. The mass density comes out at 9.4 g/cm3. The raw total energy comes out at -173.635 eV for the cell shown.

Cell lengths 9.1312, 9.1312, 19.5212 Å; angles 90.00, 90.00, 120.00 degrees
Space group R-3 (No. 148, hexagonal axes)
Inequivalent atoms, fractional coordinates:
Tb 0.0000 0.0000 0.1663
Tb 0.9997 0.3326 0.2756
Er 0.0000 0.0000 0.5000
Tl 0.9999 0.3312 0.4367